(1)
## PaReP (PBE)

Data for crystalline PaReP at its relaxed geometry.

Calculated values
The value obtained for the density of states at the Fermi level is 6.4 states/eV per cell. As for the formation energy: -592 meV/atom. The total magnetic moment is 0.0 μB per cell.

Lattice parameters (Å, degrees): 4.2600 4.2600 3.5395 90.00 90.00 120.00
Space group P-6m2 (No. 187)
Inequivalent atoms, fractional coordinates:
1 Pa 0.0000 0.0000 0.0000 x1
2 Re 0.6667 0.3333 0.5000 x1
3 P 0.3333 0.6667 0.5000 x1

=====

(2)
## PaReP2 (PBE)

Data for crystalline PaReP2 at its relaxed geometry.

Calculated values
The value obtained for the density of states at the Fermi level is 10.0 states/eV per cell. As for the formation energy: -94 meV/atom. Its energy above the most stable polymorph in this dataset is 0.446 eV per atom. The total magnetic moment is 0.0 μB per cell.

Lattice parameters (Å, degrees): 3.0525 3.0525 27.3225 90.00 90.00 120.00
Space group R-3m (No. 166, hexagonal axes)
Inequivalent atoms, fractional coordinates:
1 Pa 0.0000 0.0000 0.0000 x3
2 Re 0.0000 0.0000 0.5000 x3
3 P 0.0000 0.0000 0.1047 x6

=====

(3)
## Pa3P6Rh20 (PBE)

Data for crystalline Pa3P6Rh20 at its relaxed geometry.

Calculated values
The value obtained for the density of states at the Fermi level is 100.4 states/eV per cell. As for the formation energy: -756 meV/atom. The total magnetic moment is 0.0 μB per cell.

Lattice parameters (Å, degrees): 12.037 12.037 12.037 90.00 90.00 90.00
Space group Fm-3m (No. 225)
Inequivalent atoms, fractional coordinates:
1 Pa 0.000 0.000 0.000 x4
2 Pa 0.250 0.250 0.250 x8
3 P 0.000 0.000 0.271 x24
4 Rh 0.000 0.171 0.171 x48
5 Rh 0.119 0.119 0.381 x32

=====

(4)
## PaP2Rh7 (PBE)

Data for crystalline PaP2Rh7 at its relaxed geometry.

Calculated values
The value obtained for the density of states at the Fermi level is 10.7 states/eV per cell. As for the formation energy: -783 meV/atom. The total magnetic moment is 0.0 μB per cell.

Lattice parameters (Å, degrees): 3.980 3.980 19.319 90.00 90.00 90.00
Space group I4/mmm (No. 139)
Inequivalent atoms, fractional coordinates:
1 Pa 0.000 0.000 0.000 x2
2 P 0.000 0.000 0.322 x4
3 Rh 0.000 0.000 0.500 x2
4 Rh 0.000 0.500 0.107 x8
5 Rh 0.000 0.500 0.250 x4